[1]
A plane-wave DFT calculation with GGA-PBE was carried out for crystalline Ca3In5I12 at its relaxed geometry.

```
Ca3In5I12
1.0
17.788 0.000 0.000
-5.929 16.770 0.000
-5.929 -8.385 14.524
I Ca In
48 12 20
direct
0.683 0.011 0.639 I
0.628 0.171 0.989 I
0.544 0.372 0.361 I
0.128 0.639 0.956 I
0.011 0.329 0.372 I
0.861 0.817 0.989 I
0.956 0.139 0.128 I
0.011 0.683 0.139 I
0.683 0.671 0.544 I
0.128 0.489 0.671 I
0.171 0.544 0.183 I
0.456 0.628 0.639 I
0.329 0.011 0.872 I
0.872 0.511 0.329 I
0.956 0.817 0.329 I
0.989 0.671 0.628 I
0.511 0.639 0.183 I
0.456 0.829 0.317 I
0.361 0.489 0.317 I
0.671 0.683 0.044 I
0.372 0.544 0.861 I
0.139 0.183 0.011 I
0.639 0.128 0.456 I
0.989 0.317 0.861 I
0.829 0.456 0.817 I
0.817 0.861 0.489 I
0.544 0.171 0.683 I
0.171 0.628 0.489 I
0.372 0.829 0.011 I
0.861 0.044 0.372 I
0.044 0.861 0.872 I
0.639 0.511 0.683 I
0.829 0.372 0.511 I
0.489 0.128 0.171 I
0.317 0.329 0.456 I
0.317 0.989 0.361 I
0.361 0.872 0.544 I
0.044 0.183 0.671 I
0.183 0.044 0.171 I
0.139 0.956 0.628 I
0.817 0.956 0.829 I
0.511 0.872 0.829 I
0.329 0.317 0.956 I
0.628 0.456 0.139 I
0.671 0.989 0.128 I
0.489 0.361 0.817 I
0.872 0.361 0.044 I
0.183 0.139 0.511 I
0.750 0.375 0.125 Ca
0.875 0.750 0.125 Ca
0.750 0.875 0.625 Ca
0.250 0.625 0.875 Ca
0.375 0.625 0.250 Ca
0.625 0.250 0.375 Ca
0.125 0.875 0.750 Ca
0.375 0.750 0.625 Ca
0.125 0.250 0.875 Ca
0.875 0.125 0.250 Ca
0.250 0.125 0.375 Ca
0.625 0.375 0.750 Ca
0.625 0.750 0.875 In
0.000 0.500 0.000 In
0.500 0.500 0.000 In
0.750 0.125 0.875 In
0.500 0.500 0.500 In
0.250 0.375 0.625 In
0.500 0.000 0.000 In
0.625 0.875 0.250 In
0.375 0.125 0.750 In
0.250 0.875 0.125 In
0.125 0.375 0.250 In
0.125 0.750 0.375 In
0.750 0.625 0.375 In
0.875 0.625 0.750 In
0.000 0.500 0.500 In
0.375 0.250 0.125 In
0.500 0.000 0.500 In
0.875 0.250 0.625 In
0.000 0.000 0.500 In
0.000 0.000 0.000 In
```

energy relative to the lowest polymorph listed for this composition	0.1266	eV per atom
space-group type	Ia-3d
E	-2.737	eV/atom



[2]
A plane-wave DFT calculation with GGA-PBE was carried out for crystalline Ca2In2I at its relaxed geometry.

```
Ca2In2I
1.0
6.255 0.000 0.000
0.000 6.255 0.000
3.127 3.127 4.640
Ca In I
2 2 1
direct
0.250 0.750 0.500 Ca
0.750 0.250 0.500 Ca
0.351 0.351 0.298 In
0.649 0.649 0.702 In
0.000 0.000 0.000 I
```

space-group type	I4/mmm
E	-2.435	eV/atom



[3]
A plane-wave DFT calculation with GGA-PBE was carried out for crystalline CaInI3 at its relaxed geometry.

```
CaInI3
1.0
5.298 0.000 0.000
0.000 8.786 -0.218
0.000 -2.959 11.657
I In Ca
6 2 2
direct
0.250 0.943 0.339 I
0.750 0.560 0.660 I
0.250 0.440 0.340 I
0.750 0.197 0.045 I
0.250 0.803 0.955 I
0.750 0.057 0.661 I
0.250 0.279 0.570 In
0.750 0.721 0.430 In
0.750 0.876 0.839 Ca
0.250 0.124 0.161 Ca
```

space-group type	P2_1/m
E	-2.959	eV/atom



[4]
A plane-wave DFT calculation with GGA-PBE was carried out for crystalline CaIn2I4 at its relaxed geometry.

```
CaIn2I4
1.0
6.161 0.000 0.000
0.000 6.161 0.000
3.080 3.080 8.545
I Ca In
4 1 2
direct
0.819 0.819 0.361 I
0.000 0.500 0.000 I
0.181 0.181 0.639 I
0.500 0.000 0.000 I
0.000 0.000 0.000 Ca
0.368 0.368 0.265 In
0.632 0.632 0.735 In
```

energy relative to the lowest polymorph listed for this composition	0.0743	eV per atom
space-group type	I4/mmm
E	-2.818	eV/atom



[5]
A plane-wave DFT calculation with GGA-PBE was carried out for crystalline CaIn2I4 at its relaxed geometry.

```
CaIn2I4
1.0
-3.122 1.125 3.217
2.692 -7.320 5.172
5.039 7.771 -1.147
I In Ca
4 2 1
direct
0.890 0.165 0.780 I
0.110 0.835 0.220 I
0.630 0.259 0.259 I
0.370 0.741 0.741 I
0.711 0.737 0.422 In
0.289 0.263 0.578 In
0.000 0.000 0.000 Ca
```

energy relative to the lowest polymorph listed for this composition	0.0106	eV per atom
space-group type	C2/m
E	-2.881	eV/atom



[6]
A plane-wave DFT calculation with GGA-PBE was carried out for crystalline CaInI5 at its relaxed geometry.

```
CaInI5
1.0
-6.544 5.105 1.048
-5.122 -5.653 -3.439
3.677 -3.806 10.287
I In Ca
10 2 2
direct
0.155 0.742 0.843 I
0.242 0.283 0.965 I
0.217 0.258 0.535 I
0.758 0.345 0.656 I
0.783 0.742 0.465 I
0.242 0.655 0.344 I
0.758 0.717 0.035 I
0.583 0.917 0.750 I
0.845 0.258 0.157 I
0.417 0.083 0.250 I
0.886 0.614 0.250 In
0.114 0.386 0.750 In
0.500 0.000 0.500 Ca
0.500 0.000 0.000 Ca
```

space-group type	C2/c
E	-2.707	eV/atom



[7]
A plane-wave DFT calculation with GGA-PBE was carried out for crystalline Ca3In5I12 at its relaxed geometry.

```
Ca3In5I12
1.0
4.636 0.000 0.000
0.000 12.317 -7.111
0.000 0.000 14.222
I Ca In
12 3 5
direct
0.500 0.806 0.256 I
0.000 0.171 0.171 I
0.500 0.256 0.806 I
0.500 0.194 0.450 I
0.500 0.744 0.550 I
0.000 0.829 0.000 I
0.000 0.467 0.467 I
0.500 0.450 0.194 I
0.000 0.533 0.000 I
0.000 0.000 0.829 I
0.500 0.550 0.744 I
0.000 0.000 0.533 I
0.500 0.320 0.320 Ca
0.500 0.680 0.000 Ca
0.500 0.000 0.680 Ca
0.000 0.333 0.667 In
0.000 0.293 0.000 In
0.000 0.667 0.333 In
0.000 0.000 0.293 In
0.000 0.707 0.707 In
```

energy relative to the lowest polymorph listed for this composition	0.0000	eV per atom
space-group type	P-62m
E	-2.864	eV/atom



[8]
A plane-wave DFT calculation with GGA-PBE was carried out for crystalline Ca2In2I at its relaxed geometry.

```
Ca2In2I
1.0
4.283 0.000 0.000
0.000 4.283 0.000
2.142 2.142 9.053
In Ca I
2 2 1
direct
0.750 0.250 0.500 In
0.250 0.750 0.500 In
0.612 0.612 0.776 Ca
0.388 0.388 0.224 Ca
0.000 0.000 0.000 I
```

space-group type	I4/mmm
E	-2.682	eV/atom



[9]
A plane-wave DFT calculation with GGA-PBE was carried out for crystalline Ca2In2I at its relaxed geometry.

```
Ca2In2I
1.0
8.926 0.000 0.000
0.000 8.926 0.000
0.000 0.000 4.210
Ca In I
4 4 2
direct
0.184 0.316 0.000 Ca
0.684 0.184 0.000 Ca
0.316 0.816 0.000 Ca
0.816 0.684 0.000 Ca
0.114 0.614 0.500 In
0.614 0.886 0.500 In
0.386 0.114 0.500 In
0.886 0.386 0.500 In
0.500 0.500 0.000 I
0.000 0.000 0.000 I
```

space-group type	P4/mbm
E	-2.711	eV/atom



[10]
A plane-wave DFT calculation with GGA-PBE was carried out for crystalline CaIn3I at its relaxed geometry.

```
CaIn3I
1.0
6.123 0.000 0.000
0.000 6.123 0.000
0.000 0.000 6.123
In I Ca
3 1 1
direct
0.000 0.500 0.000 In
0.500 0.000 0.000 In
0.000 0.000 0.500 In
0.000 0.000 0.000 I
0.500 0.500 0.500 Ca
```

energy relative to the lowest polymorph listed for this composition	0.0000	eV per atom
space-group type	Pm-3m
E	-2.044	eV/atom



[11]
A plane-wave DFT calculation with GGA-PBE was carried out for crystalline Ca2In2I at its relaxed geometry.

```
Ca2In2I
1.0
9.257 0.000 0.000
0.000 9.257 0.000
0.000 0.000 3.829
In Ca I
4 4 2
direct
0.391 0.891 0.000 In
0.891 0.609 0.000 In
0.109 0.391 0.000 In
0.609 0.109 0.000 In
0.190 0.690 0.500 Ca
0.310 0.190 0.500 Ca
0.810 0.310 0.500 Ca
0.690 0.810 0.500 Ca
0.500 0.500 0.000 I
0.000 0.000 0.000 I
```

space-group type	P4/mbm
E	-2.647	eV/atom



[12]
A plane-wave DFT calculation with GGA-PBE was carried out for crystalline CaIn2I8 at its relaxed geometry.

```
CaIn2I8
1.0
7.336 0.309 0.234
0.485 8.980 -0.384
0.485 2.049 8.751
In I Ca
2 8 1
direct
0.653 0.796 0.796 In
0.347 0.204 0.204 In
0.792 0.606 0.606 I
0.208 0.394 0.394 I
0.771 0.089 0.712 I
0.229 0.288 0.911 I
0.229 0.911 0.288 I
0.727 0.199 0.199 I
0.273 0.801 0.801 I
0.771 0.712 0.089 I
0.000 0.000 0.000 Ca
```

space-group type	C2/m
E	-2.604	eV/atom



[13]
A plane-wave DFT calculation with GGA-PBE was carried out for crystalline CaIn3I at its relaxed geometry.

```
CaIn3I
1.0
-5.486 0.322 2.739
-2.758 -0.595 -5.454
-0.021 -6.103 0.676
In I Ca
3 1 1
direct
0.000 0.000 0.500 In
0.500 0.000 0.000 In
0.000 0.500 0.000 In
0.500 0.500 0.500 I
0.000 0.000 0.000 Ca
```

energy relative to the lowest polymorph listed for this composition	0.0541	eV per atom
space-group type	Pm-3m
E	-1.990	eV/atom



[14]
A plane-wave DFT calculation with GGA-PBE was carried out for crystalline CaIn6I8 at its relaxed geometry.

```
CaIn6I8
1.0
8.484 0.747 -0.755
-0.888 8.470 -0.755
0.616 0.747 8.495
I In Ca
8 6 1
direct
0.095 0.343 0.776 I
0.224 0.905 0.657 I
0.657 0.224 0.905 I
0.785 0.785 0.785 I
0.343 0.776 0.095 I
0.215 0.215 0.215 I
0.776 0.095 0.343 I
0.905 0.657 0.224 I
0.425 0.611 0.776 In
0.575 0.389 0.224 In
0.776 0.425 0.611 In
0.611 0.776 0.425 In
0.224 0.575 0.389 In
0.389 0.224 0.575 In
0.000 0.000 0.000 Ca
```

space-group type	R-3
E	-2.641	eV/atom



[15]
A plane-wave DFT calculation with GGA-PBE was carried out for crystalline CaIn3I12 at its relaxed geometry.

```
CaIn3I12
1.0
12.048 0.000 5.818
4.619 11.127 5.818
0.572 0.382 14.198
I In Ca
24 6 2
direct
0.538 0.643 0.518 I
0.820 0.867 0.811 I
0.481 0.493 0.981 I
0.213 0.870 0.692 I
0.367 0.320 0.311 I
0.038 0.801 0.018 I
0.545 0.993 0.481 I
0.320 0.002 0.311 I
0.370 0.713 0.192 I
0.870 0.224 0.692 I
0.502 0.820 0.811 I
0.301 0.538 0.518 I
0.643 0.301 0.518 I
0.981 0.545 0.481 I
0.143 0.038 0.018 I
0.002 0.367 0.311 I
0.045 0.481 0.981 I
0.867 0.502 0.811 I
0.713 0.724 0.192 I
0.993 0.981 0.481 I
0.224 0.213 0.692 I
0.493 0.045 0.981 I
0.724 0.370 0.192 I
0.801 0.143 0.018 I
0.392 0.904 0.991 In
0.904 0.713 0.991 In
0.713 0.392 0.991 In
0.404 0.892 0.491 In
0.892 0.213 0.491 In
0.213 0.404 0.491 In
0.056 0.056 0.831 Ca
0.556 0.556 0.331 Ca
```

space-group type	R3c
E	-2.404	eV/atom



[16]
A plane-wave DFT calculation with GGA-PBE was carried out for crystalline CaInI3 at its relaxed geometry.

```
CaInI3
1.0
-3.855 0.349 -2.447
-1.779 -4.292 6.474
-2.764 9.828 5.755
I Ca In
6 2 2
direct
0.863 0.727 0.447 I
0.137 0.273 0.947 I
0.426 0.853 0.750 I
0.137 0.273 0.553 I
0.574 0.147 0.250 I
0.863 0.727 0.053 I
0.500 0.000 0.000 Ca
0.500 0.000 0.500 Ca
0.239 0.476 0.250 In
0.761 0.524 0.750 In
```

space-group type	Cmcm
E	-3.018	eV/atom



[17]
A plane-wave DFT calculation with GGA-PBE was carried out for crystalline CaInI3 at its relaxed geometry.

```
CaInI3
1.0
-4.791 -0.350 -3.712
-2.959 -3.319 4.133
-2.267 5.071 2.449
I In Ca
3 1 1
direct
0.000 0.000 0.500 I
0.000 0.500 0.000 I
0.500 0.000 0.000 I
0.000 0.000 0.000 In
0.500 0.500 0.500 Ca
```

space-group type	Pm-3m
E	-2.361	eV/atom



[18]
A plane-wave DFT calculation with GGA-PBE was carried out for crystalline CaInI3 at its relaxed geometry.

```
CaInI3
1.0
6.123 0.000 0.000
0.000 6.123 0.000
0.000 0.000 6.123
I Ca In
3 1 1
direct
0.000 0.500 0.000 I
0.500 0.000 0.000 I
0.000 0.000 0.500 I
0.000 0.000 0.000 Ca
0.500 0.500 0.500 In
```

space-group type	Pm-3m
E	-2.900	eV/atom



Number 1: formation energy (no corrections) -79.3 kJ/mol of atoms, magnetic moment 0.00 μB per atom. Number 2: formation energy (no corrections) -22.1 kJ/mol of atoms, magnetic moment 0.00 μB per atom. Number 3: formation energy (no corrections) -104.3 kJ/mol of atoms, magnetic moment 0.00 μB per atom. Number 4: formation energy (no corrections) -83.3 kJ/mol of atoms, magnetic moment 0.00 μB per atom. Number 5: formation energy (no corrections) -89.5 kJ/mol of atoms, magnetic moment 0.00 μB per atom. Number 6: formation energy (no corrections) -89.0 kJ/mol of atoms, magnetic moment 0.00 μB per atom. Number 7: formation energy (no corrections) -91.5 kJ/mol of atoms, magnetic moment 0.00 μB per atom. Number 8: formation energy (no corrections) -45.9 kJ/mol of atoms, magnetic moment 0.00 μB per atom. Number 9: formation energy (no corrections) -48.7 kJ/mol of atoms, magnetic moment 0.00 μB per atom. Number 10: formation energy (no corrections) 29.9 kJ/mol of atoms, magnetic moment 0.00 μB per atom. Number 11: formation energy (no corrections) -42.5 kJ/mol of atoms, magnetic moment 0.00 μB per atom. Number 12: formation energy (no corrections) -76.9 kJ/mol of atoms, magnetic moment 0.00 μB per atom. Number 13: formation energy (no corrections) 35.1 kJ/mol of atoms, magnetic moment 0.00 μB per atom. Number 14: formation energy (no corrections) -56.5 kJ/mol of atoms, magnetic moment 0.00 μB per atom. Number 15: formation energy (no corrections) -58.1 kJ/mol of atoms, magnetic moment 0.06 μB per atom. Number 16: formation energy (no corrections) -110.0 kJ/mol of atoms, magnetic moment 0.00 μB per atom. Number 17: formation energy (no corrections) -46.6 kJ/mol of atoms, magnetic moment 0.00 μB per atom. Number 18: formation energy (no corrections) -98.6 kJ/mol of atoms, magnetic moment 0.00 μB per atom.